1.
Below is an optimized crystal structure of Sm12Dy6In, with properties calculated at the GGA-PBE level.

Output
* energy: -4.51 eV per atom
* space group: No. 148

abc: 8.566 8.566 8.566
angles: 88.69 88.69 88.69
Positions (direct):
Sm1 0.217 0.462 0.568
Sm2 0.014 0.183 0.362
Sm3 0.432 0.783 0.538
Sm4 0.538 0.432 0.783
Sm5 0.183 0.362 0.014
Sm6 0.986 0.817 0.638
Sm7 0.783 0.538 0.432
Sm8 0.362 0.014 0.183
Sm9 0.462 0.568 0.217
Sm10 0.817 0.638 0.986
Sm11 0.568 0.217 0.462
Sm12 0.638 0.986 0.817
Dy1 0.256 0.098 0.709
Dy2 0.744 0.902 0.291
Dy3 0.098 0.709 0.256
Dy4 0.902 0.291 0.744
Dy5 0.291 0.744 0.902
Dy6 0.709 0.256 0.098
In1 0.000 0.000 0.000

2.
Below is an optimized crystal structure of Sm5Dy2In4, with properties calculated at the GGA-PBE level.

Output
* E above lowest polymorph: 0 meV per atom
* space group: No. 10

abc: 3.444 8.722 10.657
angles: 84.42 90.00 90.00
Positions (direct):
Sm1 0.000 0.159 0.859
Sm2 0.000 0.500 0.000
Sm3 0.000 0.538 0.666
Sm4 0.000 0.462 0.334
Sm5 0.000 0.841 0.141
In1 0.500 0.201 0.122
In2 0.500 0.799 0.878
In3 0.500 0.756 0.423
In4 0.500 0.244 0.577
Dy1 0.000 0.917 0.638
Dy2 0.000 0.083 0.362

3.
Below is an optimized crystal structure of SmDyIn6, with properties calculated at the GGA-PBE level.

Output
* E above lowest polymorph: 57 meV per atom
* space group: No. 38

abc: 5.316 6.659 6.659
angles: 120.01 90.00 90.00
Positions (direct):
Dy1 0.000 0.084 0.916
In1 0.000 0.589 0.411
In2 0.000 0.067 0.409
In3 0.500 0.912 0.573
In4 0.000 0.591 0.933
In5 0.500 0.914 0.086
In6 0.500 0.427 0.088
Sm1 0.500 0.416 0.584

4.
Below is an optimized crystal structure of Sm3Dy2In4, with properties calculated at the GGA-PBE level.

Output
* E above lowest polymorph: 170 meV per atom
* space group: No. 64

abc: 7.141 9.902 8.533
angles: 90.00 114.74 90.00
Positions (direct):
Dy1 0.895 0.461 0.790
Dy2 0.395 0.039 0.790
Dy3 0.105 0.539 0.210
Dy4 0.605 0.961 0.210
In1 0.761 0.250 0.021
In2 0.696 0.518 0.391
In3 0.196 0.982 0.391
In4 0.239 0.750 0.979
In5 0.804 0.018 0.609
In6 0.739 0.750 0.979
In7 0.261 0.250 0.021
In8 0.304 0.482 0.609
Sm1 0.527 0.750 0.553
Sm2 0.973 0.250 0.447
Sm3 0.473 0.250 0.447
Sm4 0.000 0.000 0.000
Sm5 0.500 0.500 0.000
Sm6 0.027 0.750 0.553

5.
Below is an optimized crystal structure of Sm6Dy2In, with properties calculated at the GGA-PBE level.

Output
* E above lowest polymorph: 0 meV per atom
* space group: No. 15

abc: 6.270 11.127 11.908
angles: 46.32 105.28 106.39
Positions (direct):
Sm1 0.271 0.529 0.365
Sm2 0.497 0.410 0.915
Sm3 0.828 0.910 0.415
Sm4 0.256 0.690 0.528
Sm5 0.038 0.810 0.972
Sm6 0.729 0.471 0.635
Sm7 0.172 0.090 0.585
Sm8 0.623 0.029 0.865
Sm9 0.377 0.971 0.135
Sm10 0.744 0.310 0.472
Sm11 0.503 0.590 0.085
Sm12 0.962 0.190 0.028
Dy1 0.056 0.642 0.805
Dy2 0.944 0.358 0.195
Dy3 0.391 0.142 0.305
Dy4 0.609 0.858 0.695
In1 0.170 0.250 0.750
In2 0.830 0.750 0.250

6.
Below is an optimized crystal structure of Sm5DyIn6, with properties calculated at the GGA-PBE level.

Output
* energy: -4.21 eV per atom
* space group: No. 12

abc: 5.404 9.343 9.362
angles: 60.07 73.18 54.55
Positions (direct):
In1 0.246 0.589 0.330
In2 0.246 0.918 0.670
In3 0.754 0.082 0.330
In4 0.743 0.757 0.000
In5 0.257 0.243 0.000
In6 0.754 0.411 0.670
Sm1 0.500 0.831 0.338
Sm2 0.500 0.169 0.662
Sm3 0.000 0.334 0.331
Sm4 0.000 0.666 0.669
Sm5 0.500 0.500 0.000
Dy1 0.000 0.000 0.000

7.
Below is an optimized crystal structure of Sm6Dy12In, with properties calculated at the GGA-PBE level.

Output
* energy: -4.47 eV per atom
* space group: No. 148

abc: 8.491 8.491 8.491
angles: 88.89 88.89 88.89
Positions (direct):
Sm1 0.093 0.698 0.259
Sm2 0.302 0.741 0.907
Sm3 0.907 0.302 0.741
Sm4 0.698 0.259 0.093
Sm5 0.741 0.907 0.302
Sm6 0.259 0.093 0.698
Dy1 0.461 0.565 0.222
Dy2 0.565 0.222 0.461
Dy3 0.539 0.435 0.778
Dy4 0.812 0.641 0.987
Dy5 0.359 0.013 0.188
Dy6 0.222 0.461 0.565
Dy7 0.778 0.539 0.435
Dy8 0.188 0.359 0.013
Dy9 0.013 0.188 0.359
Dy10 0.987 0.812 0.641
Dy11 0.435 0.778 0.539
Dy12 0.641 0.987 0.812
In1 0.000 0.000 0.000

8.
Below is an optimized crystal structure of Sm4Dy3In2, with properties calculated at the GGA-PBE level.

Output
* energy: -4.43 eV per atom
* space group: No. 2

abc: 5.363 6.798 9.580
angles: 60.08 73.79 66.76
Positions (direct):
Dy1 0.579 0.194 0.649
Dy2 0.421 0.806 0.351
Dy3 0.000 0.000 0.000
Sm1 0.118 0.421 0.343
Sm2 0.670 0.625 0.036
Sm3 0.882 0.579 0.657
Sm4 0.330 0.375 0.964
In1 0.209 0.901 0.682
In2 0.791 0.099 0.318

9.
Below is an optimized crystal structure of Sm12Dy7In, with properties calculated at the GGA-PBE level.

Output
* E above lowest polymorph: 506 meV per atom
* space group: No. 229

abc: 9.941 9.941 9.941
angles: 109.47 109.47 109.47
Positions (direct):
Sm1 0.778 0.556 0.778
Sm2 0.000 0.778 0.222
Sm3 0.778 0.222 0.000
Sm4 0.222 0.222 0.444
Sm5 0.556 0.778 0.778
Sm6 0.222 0.444 0.222
Sm7 0.222 0.778 0.000
Sm8 0.000 0.222 0.778
Sm9 0.778 0.778 0.556
Sm10 0.444 0.222 0.222
Sm11 0.222 0.000 0.778
Sm12 0.778 0.000 0.222
Dy1 0.000 0.500 0.500
Dy2 0.500 0.000 0.500
Dy3 0.500 0.500 0.000
Dy4 0.500 0.000 0.000
Dy5 0.000 0.500 0.000
Dy6 0.000 0.000 0.500
Dy7 0.500 0.500 0.500
In1 0.000 0.000 0.000

10.
Below is an optimized crystal structure of SmDy3In4, with properties calculated at the GGA-PBE level.

Output
* E above lowest polymorph: 162 meV per atom
* space group: No. 71

abc: 3.453 7.133 10.202
angles: 110.44 99.74 90.00
Positions (direct):
Dy1 0.220 0.220 0.440
Dy2 0.000 0.500 0.000
Dy3 0.780 0.780 0.560
In1 0.628 0.838 0.255
In2 0.372 0.583 0.745
In3 0.628 0.417 0.255
In4 0.372 0.162 0.745
Sm1 0.500 0.000 0.000

11.
Below is an optimized crystal structure of Sm2Dy8In, with properties calculated at the GGA-PBE level.

Output
* E above lowest polymorph: 77 meV per atom
* space group: No. 12

abc: 7.012 8.312 8.312
angles: 47.29 76.78 76.78
Positions (direct):
Sm1 0.558 0.192 0.192
Sm2 0.442 0.808 0.808
Dy1 0.998 0.222 0.222
Dy2 0.193 0.396 0.396
Dy3 0.705 0.187 0.654
Dy4 0.295 0.346 0.813
Dy5 0.705 0.654 0.187
Dy6 0.002 0.778 0.778
Dy7 0.807 0.604 0.604
Dy8 0.295 0.813 0.346
In1 0.000 0.000 0.000

12.
Below is an optimized crystal structure of Sm6DyIn5, with properties calculated at the GGA-PBE level.

Output
* E above lowest polymorph: 138 meV per atom
* space group: No. 12

abc: 6.210 10.517 7.789
angles: 47.54 80.88 76.42
Positions (direct):
Sm1 0.730 0.459 0.636
Sm2 0.270 0.541 0.364
Sm3 0.270 0.905 0.636
Sm4 0.787 0.717 0.000
Sm5 0.213 0.283 0.000
Sm6 0.730 0.095 0.364
In1 0.500 0.500 0.000
In2 0.500 0.869 0.262
In3 0.000 0.292 0.416
In4 0.500 0.131 0.738
In5 0.000 0.708 0.584
Dy1 0.000 0.000 0.000